## Ta2MnAg (GGA-PBE)

Data for a relaxed structure of Ta2MnAg.

The structure in extended XYZ format:
```
4
Lattice="-1.126 -2.031 1.607 -0.117 -1.195 -2.556 7.631 -3.289 1.189" Properties=species:S:1:pos:R:3 pbc="T T T"
Ta 7.394 -3.187 1.152
Ta 4.052 -1.746 0.632
Mn 5.102 -4.079 0.418
Ag 1.287 -2.435 -0.177
```

Computed properties:
* formation energy: 0.19 eV/atom
* final energy: -35.0 eV for the cell shown